DFT (PBE-GGA) results for a geometry-optimized RbGdO3 structure.

Results
Total moment, μB/atom: 0.3990
Space-group type: Pnma, No. 62

POSCAR file:
```
RbGdO3
1.0
6.363 0.000 0.000
0.000 8.994 0.000
0.000 0.000 6.351
Rb Gd O
4 4 12
direct
0.000 0.250 0.000 Rb
0.000 0.750 0.000 Rb
0.500 0.250 0.500 Rb
0.500 0.750 0.500 Rb
0.000 0.000 0.500 Gd
0.000 0.500 0.500 Gd
0.500 0.000 0.000 Gd
0.500 0.500 0.000 Gd
0.000 0.250 0.493 O
0.000 0.750 0.507 O
0.243 0.003 0.757 O
0.243 0.497 0.757 O
0.257 0.503 0.257 O
0.257 0.997 0.257 O
0.500 0.250 0.007 O
0.500 0.750 0.993 O
0.743 0.003 0.743 O
0.743 0.497 0.743 O
0.757 0.503 0.243 O
0.757 0.997 0.243 O
```

---

DFT (PBE-GGA) results for a geometry-optimized RbGdO3 structure.

Results
Total moment, μB/atom: 0.3998
Space-group type: Pnma, No. 62

POSCAR file:
```
RbGdO3
1.0
6.026 0.000 0.000
0.000 10.916 0.000
0.000 0.000 6.051
Rb Gd O
4 4 12
direct
0.000 0.000 0.000 Rb
0.000 0.500 0.000 Rb
0.500 0.000 0.500 Rb
0.500 0.500 0.500 Rb
0.000 0.250 0.460 Gd
0.000 0.750 0.540 Gd
0.500 0.250 0.040 Gd
0.500 0.750 0.960 Gd
0.249 0.145 0.250 O
0.249 0.355 0.250 O
0.249 0.750 0.249 O
0.251 0.250 0.749 O
0.251 0.645 0.750 O
0.251 0.855 0.750 O
0.749 0.145 0.250 O
0.749 0.355 0.250 O
0.749 0.750 0.251 O
0.751 0.250 0.751 O
0.751 0.645 0.750 O
0.751 0.855 0.750 O
```

---

DFT (PBE-GGA) results for a geometry-optimized RbGdO3 structure.

Results
Total moment, μB/atom: 0.4003
Space-group type: R-3c, No. 167

POSCAR file:
```
RbGdO3
1.0
3.378 1.950 4.726
-3.378 1.950 4.726
0.000 -3.900 4.726
Rb Gd O
2 2 6
direct
0.000 0.000 0.000 Rb
0.500 0.500 0.500 Rb
0.250 0.250 0.250 Gd
0.750 0.750 0.750 Gd
0.065 0.750 0.435 O
0.250 0.565 0.935 O
0.435 0.065 0.750 O
0.565 0.935 0.250 O
0.750 0.435 0.065 O
0.935 0.250 0.565 O
```

---

DFT (PBE-GGA) results for a geometry-optimized RbGdO3 structure.

Results
Total moment, μB/atom: 0.0538
Space-group type: P4mm, No. 99

POSCAR file:
```
RbGdO3
1.0
3.392 0.000 0.000
0.000 3.392 0.000
0.000 0.000 6.694
Rb Gd O
1 1 3
direct
0.000 0.000 0.000 Rb
0.500 0.500 0.514 Gd
0.000 0.000 0.624 O
0.000 0.500 0.288 O
0.500 0.000 0.288 O
```

---

DFT (PBE-GGA) results for a geometry-optimized RbGdO3 structure.

Results
Total moment, μB/atom: 0.4001
Space-group type: R-3, No. 148

POSCAR file:
```
RbGdO3
1.0
3.297 1.903 5.320
-3.297 1.903 5.320
0.000 -3.807 5.320
Rb Gd O
2 2 6
direct
0.122 0.122 0.122 Rb
0.878 0.878 0.878 Rb
0.349 0.349 0.349 Gd
0.651 0.651 0.651 Gd
0.049 0.554 0.614 O
0.386 0.951 0.446 O
0.446 0.386 0.951 O
0.554 0.614 0.049 O
0.614 0.049 0.554 O
0.951 0.446 0.386 O
```

---

DFT (PBE-GGA) results for a geometry-optimized RbGdO3 structure.

Results
Total moment, μB/atom: 0.4000
Space-group type: R-3c, No. 167

POSCAR file:
```
RbGdO3
1.0
3.169 1.830 5.218
-3.169 1.830 5.218
0.000 -3.659 5.218
Rb Gd O
2 2 6
direct
0.250 0.250 0.250 Rb
0.750 0.750 0.750 Rb
0.000 0.000 0.000 Gd
0.500 0.500 0.500 Gd
0.234 0.750 0.266 O
0.250 0.734 0.766 O
0.266 0.234 0.750 O
0.734 0.766 0.250 O
0.750 0.266 0.234 O
0.766 0.250 0.734 O
```

---

DFT (PBE-GGA) results for a geometry-optimized RbGdO2 structure.

Results
Total moment, μB/atom: 0.0015
Space-group type: Pbcm, No. 57

POSCAR file:
```
RbGdO2
1.0
7.090 0.000 0.000
0.000 7.217 0.000
0.000 0.000 6.479
Rb Gd O
4 4 8
direct
0.137 0.106 0.250 Rb
0.137 0.394 0.750 Rb
0.863 0.606 0.250 Rb
0.863 0.894 0.750 Rb
0.356 0.661 0.250 Gd
0.356 0.839 0.750 Gd
0.644 0.161 0.250 Gd
0.644 0.339 0.750 Gd
0.172 0.750 0.000 O
0.172 0.750 0.500 O
0.423 0.134 0.750 O
0.423 0.366 0.250 O
0.577 0.634 0.750 O
0.577 0.866 0.250 O
0.828 0.250 0.000 O
0.828 0.250 0.500 O
```

---

DFT (PBE-GGA) results for a geometry-optimized RbGdSeO structure.

Results
Total moment, μB/atom: 0.0000
Space-group type: P2_1/c, No. 14
Offset from the most stable computed form, eV per atom: 0.000

POSCAR file:
```
RbGdSeO
1.0
8.115 0.000 0.000
0.000 7.545 0.000
-1.344 0.000 6.551
Rb Gd Se O
4 4 4 4
direct
0.089 0.221 0.489 Rb
0.089 0.279 0.989 Rb
0.911 0.721 0.011 Rb
0.911 0.779 0.511 Rb
0.477 0.628 0.779 Gd
0.477 0.872 0.279 Gd
0.523 0.128 0.721 Gd
0.523 0.372 0.221 Gd
0.251 0.591 0.361 Se
0.251 0.909 0.861 Se
0.749 0.091 0.139 Se
0.749 0.409 0.639 Se
0.409 0.147 0.384 O
0.409 0.353 0.884 O
0.591 0.647 0.116 O
0.591 0.853 0.616 O
```

---

DFT (PBE-GGA) results for a geometry-optimized RbGdSeO structure.

Results
Total moment, μB/atom: 0.0001
Space-group type: Pmc2_1, No. 26
Offset from the most stable computed form, eV per atom: 0.086

POSCAR file:
```
RbGdSeO
1.0
4.616 0.000 0.000
0.000 8.492 0.000
0.000 0.000 6.778
Rb Gd Se O
2 2 2 2
direct
0.000 0.199 0.000 Rb
0.000 0.801 0.500 Rb
0.500 0.381 0.427 Gd
0.500 0.619 0.927 Gd
0.000 0.206 0.507 Se
0.000 0.794 0.007 Se
0.500 0.418 0.115 O
0.500 0.582 0.615 O
```

---

DFT (PBE-GGA) results for a geometry-optimized RbGdSeO structure.

Results
Total moment, μB/atom: 0.0006
Space-group type: R3m, No. 160
Offset from the most stable computed form, eV per atom: 0.147

POSCAR file:
```
RbGdSeO
1.0
1.919 1.108 7.408
-1.919 1.108 7.408
0.000 -2.216 7.408
Rb Gd Se O
1 1 1 1
direct
0.000 0.000 0.000 Rb
0.521 0.521 0.521 Gd
0.773 0.773 0.773 Se
0.230 0.230 0.230 O
```

---

DFT (PBE-GGA) results for a geometry-optimized RbGdSeO structure.

Results
Total moment, μB/atom: 0.0002
Space-group type: P4/nmm, No. 129
Offset from the most stable computed form, eV per atom: 0.277

POSCAR file:
```
RbGdSeO
1.0
4.242 0.000 0.000
0.000 4.242 0.000
0.000 0.000 10.251
Rb Gd Se O
2 2 2 2
direct
0.250 0.750 0.000 Rb
0.750 0.250 0.000 Rb
0.250 0.250 0.406 Gd
0.750 0.750 0.594 Gd
0.250 0.250 0.762 Se
0.750 0.750 0.238 Se
0.250 0.750 0.500 O
0.750 0.250 0.500 O
```

---

DFT (PBE-GGA) results for a geometry-optimized RbGdSeO structure.

Results
Total moment, μB/atom: 0.0008
Space-group type: C2, No. 5
Offset from the most stable computed form, eV per atom: 0.005

POSCAR file:
```
RbGdSeO
1.0
2.938 -2.937 0.000
2.938 2.937 0.000
-2.910 0.000 11.834
Rb Gd Se O
2 2 2 2
direct
0.188 0.188 0.392 Rb
0.812 0.812 0.608 Rb
0.551 0.033 0.087 Gd
0.967 0.449 0.913 Gd
0.373 0.373 0.728 Se
0.627 0.627 0.272 Se
0.009 0.991 0.000 O
0.510 0.490 0.000 O
```

---

DFT (PBE-GGA) results for a geometry-optimized Rb2Gd2Te3O structure.

Results
Total moment, μB/atom: 0.0003
Space-group type: P3m1, No. 156

POSCAR file:
```
Rb2Gd2Te3O
1.0
4.203 0.000 0.000
-2.101 3.639 0.000
0.000 0.000 16.530
Rb Gd Te O
2 2 3 1
direct
0.000 0.000 0.000 Rb
0.333 0.667 0.455 Rb
0.667 0.333 0.272 Gd
0.667 0.333 0.726 Gd
0.000 0.000 0.612 Te
0.333 0.667 0.157 Te
0.333 0.667 0.838 Te
0.000 0.000 0.327 O
```

---

DFT (PBE-GGA) results for a geometry-optimized Rb2Gd2TeO3 structure.

Results
Total moment, μB/atom: 0.0004
Space-group type: P3m1, No. 156

POSCAR file:
```
Rb2Gd2TeO3
1.0
3.689 0.000 0.000
-1.845 3.195 0.000
0.000 0.000 14.299
Rb Gd Te O
2 2 1 3
direct
0.000 0.000 0.000 Rb
0.333 0.667 0.558 Rb
0.667 0.333 0.338 Gd
0.667 0.333 0.778 Gd
0.333 0.667 0.189 Te
0.000 0.000 0.409 O
0.000 0.000 0.699 O
0.333 0.667 0.854 O
```

---

DFT (PBE-GGA) results for a geometry-optimized Rb2GdYO4 structure.

Results
Total moment, μB/atom: 0.0012
Space-group type: P-3m1, No. 164

POSCAR file:
```
Rb2GdYO4
1.0
3.497 0.000 0.000
-1.749 3.029 0.000
0.000 0.000 12.927
Rb Gd Y O
2 1 1 4
direct
0.333 0.667 0.249 Rb
0.667 0.333 0.751 Rb
0.000 0.000 0.500 Gd
0.000 0.000 0.000 Y
0.333 0.667 0.591 O
0.333 0.667 0.911 O
0.667 0.333 0.089 O
0.667 0.333 0.409 O
```

---

DFT (PBE-GGA) results for a geometry-optimized Gd2S2O structure.

Results
Total moment, μB/atom: 0.0005
Space-group type: P2_1/c, No. 14

POSCAR file:
```
Gd2S2O
1.0
8.330 0.000 0.000
0.000 6.985 0.000
-1.102 0.000 6.822
Gd S O
8 8 4
direct
0.078 0.140 0.318 Gd
0.078 0.360 0.818 Gd
0.362 0.555 0.249 Gd
0.362 0.945 0.749 Gd
0.638 0.055 0.251 Gd
0.638 0.445 0.751 Gd
0.922 0.640 0.182 Gd
0.922 0.860 0.682 Gd
0.179 0.637 0.570 S
0.179 0.863 0.070 S
0.423 0.223 0.470 S
0.423 0.277 0.970 S
0.577 0.723 0.030 S
0.577 0.777 0.530 S
0.821 0.137 0.930 S
0.821 0.363 0.430 S
0.117 0.088 0.649 O
0.117 0.412 0.149 O
0.883 0.588 0.851 O
0.883 0.912 0.351 O
```

---

DFT (PBE-GGA) results for a geometry-optimized Gd4Si2S3O7 structure.

Results
Total moment, μB/atom: 0.0002
Space-group type: I4_1/amd, No. 141

POSCAR file:
```
Gd4Si2S3O7
1.0
-5.864 5.864 6.872
5.864 -5.864 6.872
5.864 5.864 -6.872
Gd Si S O
16 8 12 28
direct
0.047 0.297 0.095 Gd
0.047 0.953 0.750 Gd
0.172 0.658 0.515 Gd
0.297 0.047 0.595 Gd
0.297 0.703 0.250 Gd
0.342 0.357 0.515 Gd
0.342 0.828 0.985 Gd
0.357 0.342 0.015 Gd
0.643 0.658 0.985 Gd
0.658 0.172 0.015 Gd
0.658 0.643 0.485 Gd
0.703 0.297 0.750 Gd
0.703 0.953 0.405 Gd
0.828 0.342 0.485 Gd
0.953 0.047 0.250 Gd
0.953 0.703 0.905 Gd
0.097 0.222 0.625 Si
0.097 0.471 0.875 Si
0.222 0.097 0.125 Si
0.471 0.097 0.375 Si
0.529 0.903 0.625 Si
0.778 0.903 0.875 Si
0.903 0.529 0.125 Si
0.903 0.778 0.375 Si
0.000 0.353 0.353 S
0.000 0.647 0.647 S
0.125 0.875 0.250 S
0.353 0.000 0.853 S
0.353 0.500 0.353 S
0.375 0.625 0.750 S
0.500 0.353 0.853 S
0.500 0.647 0.147 S
0.625 0.375 0.250 S
0.647 0.000 0.147 S
0.647 0.500 0.647 S
0.875 0.125 0.750 S
0.081 0.567 0.232 O
0.081 0.849 0.514 O
0.150 0.400 0.750 O
0.151 0.165 0.232 O
0.151 0.919 0.986 O
0.165 0.151 0.732 O
0.165 0.433 0.014 O
0.174 0.193 0.518 O
0.174 0.656 0.982 O
0.193 0.174 0.018 O
0.344 0.826 0.518 O
0.400 0.150 0.250 O
0.433 0.165 0.514 O
0.433 0.919 0.268 O
0.567 0.081 0.732 O
0.567 0.835 0.486 O
0.600 0.850 0.750 O
0.656 0.174 0.482 O
0.807 0.826 0.982 O
0.826 0.344 0.018 O
0.826 0.807 0.482 O
0.835 0.567 0.986 O
0.835 0.849 0.268 O
0.849 0.081 0.014 O
0.849 0.835 0.768 O
0.850 0.600 0.250 O
0.919 0.151 0.486 O
0.919 0.433 0.768 O
```

---

DFT (PBE-GGA) results for a geometry-optimized SmGdSO2 structure.

Results
Total moment, μB/atom: 0.0001
Space-group type: P3m1, No. 156

POSCAR file:
```
SmGdSO2
1.0
3.867 0.000 0.000
-1.933 3.349 0.000
0.000 0.000 6.679
Sm Gd S O
1 1 1 2
direct
0.000 0.000 0.000 Sm
0.667 0.333 0.438 Gd
0.333 0.667 0.717 S
0.000 0.000 0.352 O
0.667 0.333 0.093 O
```

---

DFT (PBE-GGA) results for a geometry-optimized GdSnSO structure.

Results
Total moment, μB/atom: 0.0006
Space-group type: R-3m, No. 166
Offset from the most stable computed form, eV per atom: 0.412

POSCAR file:
```
GdSnSO
1.0
2.303 1.329 9.868
-2.303 1.329 9.868
0.000 -2.659 9.868
Gd Sn S O
2 2 2 2
direct
0.222 0.222 0.222 Gd
0.778 0.778 0.778 Gd
0.371 0.371 0.371 Sn
0.629 0.629 0.629 Sn
0.125 0.125 0.125 S
0.875 0.875 0.875 S
0.299 0.299 0.299 O
0.701 0.701 0.701 O
```

---

Number 1: DFT total energy -5.93 eV per atom. Number 2: DFT total energy -5.83 eV per atom. Number 3: DFT total energy -5.40 eV per atom. Number 4: DFT total energy -5.64 eV per atom. Number 5: DFT total energy -5.92 eV per atom. Number 6: DFT total energy -5.93 eV per atom. Number 7: DFT total energy -6.41 eV per atom. Number 8: DFT total energy -5.73 eV per atom. Number 9: DFT total energy -5.65 eV per atom. Number 10: DFT total energy -5.58 eV per atom. Number 11: DFT total energy -5.45 eV per atom. Number 12: DFT total energy -5.73 eV per atom. Number 13: DFT total energy -4.72 eV per atom. Number 14: DFT total energy -5.82 eV per atom. Number 15: DFT total energy -6.77 eV per atom. Number 16: DFT total energy -7.13 eV per atom. Number 17: DFT total energy -7.65 eV per atom. Number 18: DFT total energy -7.83 eV per atom. Number 19: DFT total energy -5.86 eV per atom.